Entry 1:
DFT (PBE) results for crystalline Cd2RhAu at its relaxed geometry.

a = 4.6700 Å, b = 4.6700 Å, c = 4.6700 Å
α = 60.00°, β = 60.00°, γ = 60.00°
With the nearest neighbours (Å) after each atom.
Fractional positions:
1 Cd 0.2500 0.2500 0.2500  4 Rh 2.86, 4 Au 2.86
2 Cd 0.7500 0.7500 0.7500  4 Rh 2.86, 4 Au 2.86
3 Rh 0.0000 0.0000 0.0000  8 Cd 2.86
4 Au 0.5000 0.5000 0.5000  8 Cd 2.86

Calculated values
- Calculated formation energy: -0.5 eV/f.u.
- V: 18.00 A^3/atom
- Total magnetization: 0.00 μB/atom

***

Entry 2:
DFT (PBE) results for crystalline ZnOsRh at its relaxed geometry.

a = 4.1300 Å, b = 4.1300 Å, c = 4.1300 Å
α = 60.00°, β = 60.00°, γ = 60.00°
With the nearest neighbours (Å) after each atom.
Fractional positions:
1 Zn 0.0000 0.0000 0.0000  4 Rh 2.53
2 Os 0.5000 0.5000 0.5000  4 Rh 2.53
3 Rh 0.2500 0.2500 0.2500  4 Os 2.53, 4 Zn 2.53

Calculated values
- Calculated formation energy: 1.4 eV/f.u.
- V: 16.60 A^3/atom
- Offset from the most stable computed form: 0.463 eV/atom
- Total magnetization: 0.00 μB/atom

***

Entry 3:
DFT (PBE) results for crystalline PrDyEr5 at its relaxed geometry.

a = 7.7091 Å, b = 7.7091 Å, c = 7.7091 Å
α = 117.59°, β = 81.71°, γ = 132.93°
With the nearest neighbours (Å) after each atom.
Fractional positions:
1 Pr 0.0000 0.0000 0.0000  4 Er 2.91-3.25
2 Dy 0.2424 0.7424 0.5000  2 Er 2.99
3 Er 0.4719 0.4719 0.0000  2 Pr 2.91-3.25, 2 Er 3.04
4 Er 0.4869 0.7307 0.7562  1 Dy 2.99, 1 Er 3.26, 1 Pr 3.29
5 Er 0.7380 0.0586 0.3206  2 Er 2.87-3.04, 1 Pr 3.03
6 Er 0.7380 0.4174 0.6794  2 Er 2.87-3.04, 1 Pr 3.03
7 Er 0.9745 0.7307 0.2438  1 Dy 2.99, 1 Er 3.26, 1 Pr 3.29

Calculated values
- Calculated formation energy: 7.1 eV/f.u.
- V: 40.97 A^3/atom
- Offset from the most stable computed form: 0.810 eV/atom
- Total magnetization: 0.00 μB/atom

***

Entry 4:
DFT (PBE) results for crystalline AlP2Rh at its relaxed geometry.

a = 4.2331 Å, b = 4.2331 Å, c = 3.3229 Å
α = 90.00°, β = 90.00°, γ = 105.47°
With the nearest neighbours (Å) after each atom.
Fractional positions:
1 Al 0.0000 0.0000 0.0000  2 Rh 2.56, 8 P 2.69
2 P 0.0000 0.5000 0.5000  2 P 2.56, 4 Rh 2.69, 4 Al 2.69
3 P 0.5000 0.0000 0.5000  2 P 2.56, 4 Rh 2.69, 4 Al 2.69
4 Rh 0.5000 0.5000 0.0000  2 Al 2.56, 8 P 2.69

Calculated values
- Calculated formation energy: -0.3 eV/f.u.
- V: 14.35 A^3/atom
- Total magnetization: 0.00 μB/atom

***

Entry 5:
DFT (PBE) results for crystalline Cd4In5Ga2 at its relaxed geometry.

a = 11.2768 Å, b = 11.2768 Å, c = 8.1962 Å
α = 110.60°, β = 110.60°, γ = 16.17°
With the nearest neighbours (Å) after each atom.
Fractional positions:
1 Cd 0.0372 0.0372 0.2160  4 Ga 3.02-3.03, 3 In 3.04-3.16, 3 Cd 3.17-3.33
2 Cd 0.2794 0.2794 0.8849  1 Ga 2.87, 3 In 3.07-3.16, 4 Cd 3.09-3.17
3 Cd 0.7206 0.7206 0.1151  1 Ga 2.87, 3 In 3.07-3.16, 4 Cd 3.09-3.17
4 Cd 0.9628 0.9628 0.7840  4 Ga 3.02-3.03, 3 In 3.04-3.16, 3 Cd 3.17-3.33
5 In 0.1328 0.1328 0.7121  1 Cd 3.07, 2 Ga 3.13, 5 In 3.14-3.27
6 In 0.1818 0.1818 0.3968  3 Cd 3.04-3.16, 5 In 3.14-3.31
7 In 0.5000 0.5000 0.5000  4 Cd 3.16, 6 In 3.17-3.27
8 In 0.8182 0.8182 0.6032  3 Cd 3.04-3.16, 5 In 3.14-3.31
9 In 0.8672 0.8672 0.2879  1 Cd 3.07, 2 Ga 3.13, 5 In 3.14-3.27
10 Ga 0.4167 0.4167 0.0314  5 Cd 2.87-3.03, 2 In 3.13, 2 Ga 3.17
11 Ga 0.5833 0.5833 0.9686  5 Cd 2.87-3.03, 2 In 3.13, 2 Ga 3.17

Calculated values
- Calculated formation energy: 0.5 eV/f.u.
- V: 24.66 A^3/atom
- Offset from the most stable computed form: 0.000 eV/atom
- Total magnetization: 0.00 μB/atom

***

Entry 6:
DFT (PBE) results for crystalline LiAc3Au at its relaxed geometry.

a = 8.9339 Å, b = 6.5509 Å, c = 12.0081 Å
α = 90.00°, β = 98.88°, γ = 90.00°
With the nearest neighbours (Å) after each atom.
Fractional positions:
1 Li 0.1810 0.0993 0.4576  1 Au 2.85
2 Li 0.1810 0.4007 0.9576  1 Au 2.85
3 Li 0.8190 0.5993 0.0424  1 Au 2.85
4 Li 0.8190 0.9007 0.5424  1 Au 2.85
5 Ac 0.1131 0.1043 0.7300  1 Au 3.23, 3 Li 3.33-3.45
6 Ac 0.1131 0.3957 0.2300  1 Au 3.23, 3 Li 3.33-3.45
7 Ac 0.1975 0.5978 0.5508  2 Au 3.36-3.37, 2 Li 3.45-3.47
8 Ac 0.1975 0.9022 0.0508  2 Au 3.36-3.37, 2 Li 3.45-3.47
9 Ac 0.4618 0.6533 0.8459  4 Au 3.27-3.43, 1 Li 3.45
10 Ac 0.4618 0.8467 0.3459  4 Au 3.27-3.43, 1 Li 3.45
11 Ac 0.5382 0.1533 0.6541  4 Au 3.27-3.43, 1 Li 3.45
12 Ac 0.5382 0.3467 0.1541  4 Au 3.27-3.43, 1 Li 3.45
13 Ac 0.8025 0.0978 0.9492  2 Au 3.36-3.37, 2 Li 3.45-3.47
14 Ac 0.8025 0.4022 0.4492  2 Au 3.36-3.37, 2 Li 3.45-3.47
15 Ac 0.8869 0.6043 0.7700  1 Au 3.23, 3 Li 3.33-3.45
16 Ac 0.8869 0.8957 0.2700  1 Au 3.23, 3 Li 3.33-3.45
17 Au 0.4255 0.1622 0.9021  1 Li 2.85
18 Au 0.4255 0.3378 0.4021  1 Li 2.85
19 Au 0.5745 0.6622 0.5979  1 Li 2.85
20 Au 0.5745 0.8378 0.0979  1 Li 2.85

Calculated values
- Calculated formation energy: -1.3 eV/f.u.
- V: 34.72 A^3/atom
- Total magnetization: 0.00 μB/atom

***

Please write out number 3 again, unchanged.
DFT (PBE) results for crystalline PrDyEr5 at its relaxed geometry.

a = 7.7091 Å, b = 7.7091 Å, c = 7.7091 Å
α = 117.59°, β = 81.71°, γ = 132.93°
With the nearest neighbours (Å) after each atom.
Fractional positions:
1 Pr 0.0000 0.0000 0.0000  4 Er 2.91-3.25
2 Dy 0.2424 0.7424 0.5000  2 Er 2.99
3 Er 0.4719 0.4719 0.0000  2 Pr 2.91-3.25, 2 Er 3.04
4 Er 0.4869 0.7307 0.7562  1 Dy 2.99, 1 Er 3.26, 1 Pr 3.29
5 Er 0.7380 0.0586 0.3206  2 Er 2.87-3.04, 1 Pr 3.03
6 Er 0.7380 0.4174 0.6794  2 Er 2.87-3.04, 1 Pr 3.03
7 Er 0.9745 0.7307 0.2438  1 Dy 2.99, 1 Er 3.26, 1 Pr 3.29

Calculated values
- Calculated formation energy: 7.1 eV/f.u.
- V: 40.97 A^3/atom
- Offset from the most stable computed form: 0.810 eV/atom
- Total magnetization: 0.00 μB/atom

***

Question: Which of these has the lowest V?
Answer: AlP2Rh

***

Question: Look up the total magnetization of the first one.
Answer: 0.00 μB/atom